A plane-wave DFT calculation with PBEsol was carried out for NbSeO2F after structural relaxation.

The calculation puts the spin magnetization at 3.2 μB/f.u. The total energy comes out at -5.40 eV per atom.

It has space group P4/mmm (No. 123), with a = 3.905 Å, b = 3.905 Å, c = 4.461 Å, α = 90.00°, β = 90.00° and γ = 90.00°. The asymmetric unit holds Nb at (0.000, 0.000, 0.000), Se at (0.500, 0.500, 0.500), O at (0.000, 0.500, 0.500) and F at (0.500, 0.500, 0.000).